(1)
# SiSe | the Alexandria database | PBE-GGA | optimized geometry
# Energy relative to the elements, uncorrected = -51 kJ/mol of formula units
# V = 117.73 Å³ per cell
# Size of the total moment = 0.00 μB/f.u.
data_SiSe
_cell_length_a 4.041
_cell_length_b 4.673
_cell_length_c 7.322
_cell_angle_alpha 106.74
_cell_angle_beta 91.14
_cell_angle_gamma 115.60
_symmetry_space_group_name_H-M 'P 1'
_symmetry_Int_Tables_number 1
_symmetry_space_group_name_Hall 'P 1'
loop_
_atom_site_label
_atom_site_type_symbol
_atom_site_fract_x
_atom_site_fract_y
_atom_site_fract_z
Si1 Si 0.000 0.000 0.000
Si2 Si 0.348 0.696 0.000
Se1 Se 0.114 0.199 0.739
Se2 Se 0.282 0.497 0.261

(2)
# CsMgGa | the Alexandria database | PBE-GGA | optimized geometry
# Formation energy from the elements = -0.0368 eV/atom
# V = 258.86 Å³ per cell
# Size of the total moment = 0.00 μB/f.u.
data_CsMgGa
_cell_length_a 4.537
_cell_length_b 5.200
_cell_length_c 12.243
_cell_angle_alpha 81.42
_cell_angle_beta 88.82
_cell_angle_gamma 65.15
_symmetry_space_group_name_H-M 'P -1'
_symmetry_Int_Tables_number 2
_symmetry_space_group_name_Hall '-P 1'
loop_
_atom_site_label
_atom_site_type_symbol
_atom_site_fract_x
_atom_site_fract_y
_atom_site_fract_z
Cs1 Cs 0.213 0.120 0.201
Mg1 Mg 0.363 0.768 0.546
Ga1 Ga 0.083 0.328 0.595

(3)
# RbReAu3 | the Alexandria database | PBE-GGA | optimized geometry
# Formation energy from the elements = 2.3128 eV/atom
# Distance to the lowest polymorph of the same formula = 8.41 eV/f.u.
# V = 191.25 Å³ per cell
# Size of the total moment = 4.97 μB/f.u.
data_RbReAu3
_cell_length_a 5.761
_cell_length_b 5.761
_cell_length_c 5.761
_cell_angle_alpha 90.00
_cell_angle_beta 90.00
_cell_angle_gamma 90.00
_symmetry_space_group_name_H-M 'P m -3 m'
_symmetry_Int_Tables_number 221
_symmetry_space_group_name_Hall '-P 4 2 3'
loop_
_atom_site_label
_atom_site_type_symbol
_atom_site_fract_x
_atom_site_fract_y
_atom_site_fract_z
Rb1 Rb 0.000 0.000 0.000
Re1 Re 0.500 0.500 0.500
Au1 Au 0.000 0.000 0.500

(4)
# RbPrGaTe3 | the Alexandria database | PBE-GGA | optimized geometry
# Energy relative to the elements, uncorrected = -564 kJ/mol of formula units
# V = 490.56 Å³ per cell
# Size of the total moment = 0.00 μB/f.u.
data_RbPrGaTe3
_cell_length_a 9.777
_cell_length_b 4.942
_cell_length_c 10.609
_cell_angle_alpha 90.00
_cell_angle_beta 106.85
_cell_angle_gamma 90.00
_symmetry_space_group_name_H-M 'P 1 21/m 1'
_symmetry_Int_Tables_number 11
_symmetry_space_group_name_Hall '-P 2yb'
loop_
_atom_site_label
_atom_site_type_symbol
_atom_site_fract_x
_atom_site_fract_y
_atom_site_fract_z
Rb1 Rb 0.203 0.250 0.238
Pr1 Pr 0.332 0.750 0.862
Ga1 Ga 0.103 0.250 0.593
Te1 Te 0.110 0.250 0.854
Te2 Te 0.200 0.750 0.536
Te3 Te 0.463 0.750 0.169

(5)
# KCN2 | the Alexandria database | PBE-GGA | optimized geometry
# Energy relative to the elements, uncorrected = 25 kJ/mol of formula units
# Distance to the lowest polymorph of the same formula = 0.11 eV/f.u.
# V = 284.63 Å³ per cell
# Size of the total moment = 1.00 μB/f.u.
data_KCN2
_cell_length_a 6.244
_cell_length_b 6.244
_cell_length_c 7.300
_cell_angle_alpha 90.00
_cell_angle_beta 90.00
_cell_angle_gamma 90.00
_symmetry_space_group_name_H-M 'I 4/m c m'
_symmetry_Int_Tables_number 140
_symmetry_space_group_name_Hall '-I 4 2c'
loop_
_atom_site_label
_atom_site_type_symbol
_atom_site_fract_x
_atom_site_fract_y
_atom_site_fract_z
K1 K 0.000 0.000 0.250
C1 C 0.000 0.500 0.000
N1 N 0.140 0.360 0.000

(6)
# Tb3Pm2S8 | the Alexandria database | PBE-GGA | optimized geometry
# Energy relative to the elements, uncorrected = -2366 kJ/mol of formula units
# V = 709.26 Å³ per cell
# Size of the total moment = 0.00 μB/f.u.
data_Tb3Pm2S8
_cell_length_a 13.868
_cell_length_b 8.053
_cell_length_c 6.767
_cell_angle_alpha 90.00
_cell_angle_beta 110.20
_cell_angle_gamma 90.00
_symmetry_space_group_name_H-M 'C 1 2/m 1'
_symmetry_Int_Tables_number 12
_symmetry_space_group_name_Hall '-C 2y'
loop_
_atom_site_label
_atom_site_type_symbol
_atom_site_fract_x
_atom_site_fract_y
_atom_site_fract_z
Tb1 Tb 0.000 0.000 0.000
Tb2 Tb 0.000 0.263 0.500
Pm1 Pm 0.235 0.500 0.157
S1 S 0.115 0.000 0.427
S2 S 0.120 0.500 0.422
S3 S 0.122 0.232 0.913

(7)
# KPa2C2N6 | the Alexandria database | PBE-GGA | optimized geometry
# Energy relative to the elements, uncorrected = -727 kJ/mol of formula units
# V = 336.02 Å³ per cell
# Size of the total moment = 0.00 μB/f.u.
data_KPa2C2N6
_cell_length_a 10.225
_cell_length_b 6.110
_cell_length_c 5.997
_cell_angle_alpha 90.00
_cell_angle_beta 116.26
_cell_angle_gamma 90.00
_symmetry_space_group_name_H-M 'C 1 2/m 1'
_symmetry_Int_Tables_number 12
_symmetry_space_group_name_Hall '-C 2y'
loop_
_atom_site_label
_atom_site_type_symbol
_atom_site_fract_x
_atom_site_fract_y
_atom_site_fract_z
K1 K 0.000 0.000 0.000
Pa1 Pa 0.176 0.500 0.305
C1 C 0.163 0.500 0.752
N1 N 0.075 0.500 0.871
N2 N 0.207 0.310 0.684

(8)
# AcPmTc4 | the Alexandria database | PBE-GGA | optimized geometry
# Formation energy from the elements = 0.1871 eV/atom
# V = 483.27 Å³ per cell
# Size of the total moment = 0.48 μB/f.u.
data_AcPmTc4
_cell_length_a 7.847
_cell_length_b 7.847
_cell_length_c 7.847
_cell_angle_alpha 90.00
_cell_angle_beta 90.00
_cell_angle_gamma 90.00
_symmetry_space_group_name_H-M 'F -4 3 m'
_symmetry_Int_Tables_number 216
_symmetry_space_group_name_Hall 'F -4 2 3'
loop_
_atom_site_label
_atom_site_type_symbol
_atom_site_fract_x
_atom_site_fract_y
_atom_site_fract_z
Ac1 Ac 0.000 0.000 0.000
Pm1 Pm 0.250 0.250 0.750
Tc1 Tc 0.125 0.125 0.375